DFT (PBE with a Hubbard U) results for an optimized crystal structure of NaCo2TeO6.

Computed properties:
DFT total energy	-5.5772	eV per atom
V	11.75	Å³ per atom

a = 5.2656 Å, b = 5.2985 Å, c = 5.7478 Å
α = 62.62°, β = 63.25°, γ = 59.28°
Closest atoms and distances in Å follow each position.
Fractional positions:
Na  0.7995  0.8071  0.5868  6 O 2.24-2.49
Co  0.5387  0.5205  0.4114  4 O 2.03-2.24
Co  0.0167  0.0157  0.9618  3 O 1.89-1.99
Te  0.3213  0.3210  0.0325  6 O 1.95-1.98
O  0.5955  0.2309  0.2280  1 Te 1.96, 2 Co 2.07-2.13
O  0.2434  0.9403  0.2299  1 Te 1.96, 2 Co 2.06-2.14
O  0.9435  0.5821  0.2326  1 Te 1.95, 1 Co 2.03
O  0.3505  0.7218  0.7867  1 Co 1.89, 1 Te 1.98
O  0.7116  0.1584  0.7694  1 Te 1.96, 1 Co 1.99
O  0.1410  0.3638  0.7763  1 Co 1.94, 1 Te 1.96